This record from Alexandria via LeMat-Bulk describes a relaxed AcSn2Pb crystal. The functional is PBE.

energy: -50.90 eV for the cell shown
V: 394 Å³/cell
polymorph energy (0 for the lowest one): 183 meV/atom
E_form: -0.286 eV per atom

The structure in CIF format:
```
data_AcSn2Pb
_chemical_formula_sum 'Ac3 Sn6 Pb3'
_cell_length_a 5.3420
_cell_length_b 5.3420
_cell_length_c 15.9298
_cell_angle_alpha 90.00
_cell_angle_beta 90.00
_cell_angle_gamma 120.00
_symmetry_space_group_name_H-M 'R -3 m'
_symmetry_Int_Tables_number 166
_symmetry_space_group_name_Hall '-R 3 2"'
loop_
_atom_site_label
_atom_site_type_symbol
_atom_site_fract_x
_atom_site_fract_y
_atom_site_fract_z
_atom_site_occupancy
Ac1 Ac 0.0000 0.0000 0.0000 1
Sn1 Sn 0.0000 0.0000 0.2270 1
Pb1 Pb 0.0000 0.0000 0.5000 1
```